The following is a DFT calculation (PBE) of crystalline HgMoBr6 at its relaxed geometry.

It has space group C2/m (No. 12), with a = 7.117 Å, b = 12.101 Å, c = 7.085 Å, α = 90.00°, β = 112.19° and γ = 90.00°. The asymmetric unit holds Hg at (0.000, 0.000, 0.000), Mo at (0.000, 0.500, 0.500), Br at (0.215, 0.500, 0.294) and Br at (0.228, 0.351, 0.734).

The calculation puts the density of states at the Fermi level at 11.22 states/eV/cell. Its total magnetization is 1.5 μB per formula unit. The formation energy from raw total energies comes out at -0.43 eV/atom. For the theoretical density, the calculation gives 4.56 g/cm3.

---

The following is a DFT calculation (PBE) of crystalline HgPd at its relaxed geometry.

It has space group Fddd (No. 70, origin choice 2), with a = 3.005 Å, b = 11.873 Å, c = 16.715 Å, α = 90.00°, β = 90.00° and γ = 90.00°. The asymmetric unit holds Hg at (0.125, 0.256, 0.125) and Pd at (0.125, 0.125, 0.511).

The calculation puts the density of states at the Fermi level at 10.32 states/eV/cell. Its total magnetization is 0.0 μB per formula unit. For the formation energy, the calculation gives -73 meV/atom. For the theoretical density, the calculation gives 13.68 g/cm3.

---

The following is a DFT calculation (PBE) of crystalline Ac5Sn2Rh at its relaxed geometry.

It has space group Cmcm (No. 63), with a = 6.348 Å, b = 10.985 Å, c = 16.845 Å, α = 90.00°, β = 90.00° and γ = 90.00°. The asymmetric unit holds Ac at (0.000, 0.083, 0.114), Ac at (0.000, 0.250, 0.750), Ac at (0.000, 0.416, 0.114), Sn at (0.000, 0.251, 0.554) and Rh at (0.000, 0.249, 0.250).

The calculation puts the density of states at the Fermi level at 30.52 states/eV/cell. Its total magnetization is 0.0 μB per formula unit. For the formation energy, the calculation gives -395 meV/atom. For the theoretical density, the calculation gives 8.34 g/cm3.

---

The following is a DFT calculation (PBE) of crystalline Cs4K2Rb2Hg at its relaxed geometry.

It has space group C2/m (No. 12), with a = 17.643 Å, b = 10.549 Å, c = 8.357 Å, α = 90.00°, β = 90.41° and γ = 90.00°. The asymmetric unit holds Cs at (0.093, 0.249, 0.241), K at (0.166, 0.000, 0.749), Rb at (0.163, 0.500, 0.738) and Hg at (0.000, 0.000, 0.500).

The calculation puts the density of states at the Fermi level at 17.38 states/eV/cell. Its total magnetization is 0.0 μB per formula unit. For the formation energy, the calculation gives -44 meV/atom. For the theoretical density, the calculation gives 2.10 g/cm3.

---

The following is a DFT calculation (PBE) of crystalline ScGaAg3 at its relaxed geometry.

It has space group Pm-3m (No. 221), with a = 5.249 Å, b = 5.249 Å, c = 5.249 Å, α = 90.00°, β = 90.00° and γ = 90.00°. The asymmetric unit holds Sc at (0.000, 0.000, 0.000), Ga at (0.500, 0.500, 0.500) and Ag at (0.000, 0.000, 0.500).

The calculation puts the density of states at the Fermi level at 2.66 states/eV/cell. Its total magnetization is 0.0 μB per formula unit. For the formation energy, the calculation gives 827 meV/atom. For the theoretical density, the calculation gives 5.03 g/cm3.

---

The following is a DFT calculation (PBE) of crystalline Mg6MnS8 at its relaxed geometry.

It has space group Fm-3m (No. 225), with a = 10.367 Å, b = 10.367 Å, c = 10.367 Å, α = 90.00°, β = 90.00° and γ = 90.00°. The asymmetric unit holds Mg at (0.000, 0.250, 0.250), Mn at (0.000, 0.000, 0.000), S at (0.000, 0.000, 0.231) and S at (0.250, 0.250, 0.250).

Its total magnetization is 3.0 μB per formula unit. The formation energy from raw total energies comes out at -1.24 eV/atom. For the theoretical density, the calculation gives 2.73 g/cm3.

---

The following is a DFT calculation (PBE) of crystalline SrMg2TiAl at its relaxed geometry.

It has space group P4/mmm (No. 123), with a = 5.931 Å, b = 5.931 Å, c = 5.566 Å, α = 90.00°, β = 90.00° and γ = 90.00°. The asymmetric unit holds Sr at (0.000, 0.000, 0.000), Mg at (0.000, 0.500, 0.000), Ti at (0.000, 0.000, 0.500) and Al at (0.500, 0.500, 0.500).

The calculation puts the density of states at the Fermi level at 5.40 states/eV/cell. Its total magnetization is 3.0 μB per formula unit. For the formation energy, the calculation gives 1617 meV/atom. For the theoretical density, the calculation gives 1.79 g/cm3.

---

The following is a DFT calculation (PBE) of crystalline Er8Tl3S3N at its relaxed geometry.

It has space group C2/m (No. 12), with a = 13.035 Å, b = 7.532 Å, c = 8.806 Å, α = 90.00°, β = 119.51° and γ = 90.00°. The asymmetric unit holds Er at (0.014, 0.226, 0.315), Er at (0.212, 0.000, 0.686), Er at (0.234, 0.500, 0.701), Tl at (0.000, 0.000, 0.000), Tl at (0.250, 0.250, 0.000), S at (0.000, 0.500, 0.500), S at (0.250, 0.250, 0.500) and N at (0.000, 0.000, 0.500).

The calculation puts the density of states at the Fermi level at 14.30 states/eV/cell. Its total magnetization is 0.0 μB per formula unit. The formation energy from raw total energies comes out at -1.08 eV/atom. For the theoretical density, the calculation gives 9.10 g/cm3.

---

The following is a DFT calculation (PBE) of crystalline Sm5Hg3 at its relaxed geometry.

It has space group P4/mmm (No. 123), with a = 3.767 Å, b = 3.767 Å, c = 16.417 Å, α = 90.00°, β = 90.00° and γ = 90.00°. The asymmetric unit holds Sm at (0.000, 0.000, 0.000), Sm at (0.000, 0.000, 0.232), Sm at (0.500, 0.500, 0.383), Hg at (0.000, 0.000, 0.500) and Hg at (0.500, 0.500, 0.119).

The calculation puts the density of states at the Fermi level at 9.86 states/eV/cell. Its total magnetization is 1.7 μB per formula unit. For the formation energy, the calculation gives -341 meV/atom. For the theoretical density, the calculation gives 9.65 g/cm3.

---

The following is a DFT calculation (PBE) of crystalline AsIrSe2 at its relaxed geometry.

It has space group Imm2 (No. 44), with a = 3.335 Å, b = 4.359 Å, c = 11.210 Å, α = 90.00°, β = 90.00° and γ = 90.00°. The asymmetric unit holds As at (0.000, 0.000, 0.000), Ir at (0.000, 0.500, 0.675), Se at (0.000, 0.000, 0.345) and Se at (0.000, 0.500, 0.144).

The calculation puts the density of states at the Fermi level at 5.33 states/eV/cell. Its total magnetization is 0.0 μB per formula unit. The formation energy from raw total energies comes out at 0.20 eV/atom. For the theoretical density, the calculation gives 8.66 g/cm3.

---

The following is a DFT calculation (PBE) of crystalline V2ReHPd at its relaxed geometry.

It has space group P4/mmm (No. 123), with a = 3.989 Å, b = 3.989 Å, c = 3.688 Å, α = 90.00°, β = 90.00° and γ = 90.00°. The asymmetric unit holds V at (0.000, 0.500, 0.000), Re at (0.000, 0.000, 0.500), H at (0.500, 0.500, 0.000) and Pd at (0.500, 0.500, 0.500).

The calculation puts the density of states at the Fermi level at 4.03 states/eV/cell. Its total magnetization is 0.0 μB per formula unit. As for the total energy: -7.900 eV per atom. For the theoretical density, the calculation gives 11.19 g/cm3.

---

The following is a DFT calculation (PBE) of crystalline LaSc5 at its relaxed geometry.

It has space group Cm (No. 8), with a = 12.137 Å, b = 3.410 Å, c = 7.875 Å, α = 90.00°, β = 103.47° and γ = 90.00°. The asymmetric unit holds La at (0.000, 0.000, 0.000), Sc at (0.053, 0.000, 0.596), Sc at (0.168, 0.500, 0.335), Sc at (0.222, 0.500, 0.924), Sc at (0.326, 0.000, 0.649) and Sc at (0.379, 0.000, 0.278).

The calculation puts the density of states at the Fermi level at 21.27 states/eV/cell. Its total magnetization is 0.0 μB per formula unit. For the formation energy, the calculation gives 45 meV/atom. For the theoretical density, the calculation gives 3.81 g/cm3.

---

The following is a DFT calculation (PBE) of crystalline KMgIn at its relaxed geometry.

It has space group F-43m (No. 216), with a = 7.950 Å, b = 7.950 Å, c = 7.950 Å, α = 90.00°, β = 90.00° and γ = 90.00°. The asymmetric unit holds K at (0.000, 0.000, 0.000), Mg at (0.250, 0.250, 0.750) and In at (0.250, 0.250, 0.250).

The calculation puts the density of states at the Fermi level at 11.08 states/eV/cell. Its total magnetization is 0.0 μB per formula unit. For the formation energy, the calculation gives 504 meV/atom. For the theoretical density, the calculation gives 2.36 g/cm3.

---

The following is a DFT calculation (PBE) of crystalline CePaIrRu at its relaxed geometry.

It has space group F-43m (No. 216), with a = 6.906 Å, b = 6.906 Å, c = 6.906 Å, α = 90.00°, β = 90.00° and γ = 90.00°. The asymmetric unit holds Ce at (0.000, 0.000, 0.000), Pa at (0.000, 0.000, 0.500), Ir at (0.250, 0.250, 0.250) and Ru at (0.250, 0.250, 0.750).

The calculation puts the density of states at the Fermi level at 26.37 states/eV/cell. Its total magnetization is 0.1 μB per formula unit. For the formation energy, the calculation gives -475 meV/atom. For the theoretical density, the calculation gives 13.40 g/cm3.

---

The following is a DFT calculation (PBE) of crystalline Pr2AlTe5Au at its relaxed geometry.

It has space group Cmc2_1 (No. 36), with a = 4.427 Å, b = 19.609 Å, c = 12.814 Å, α = 90.00°, β = 90.00° and γ = 90.00°. The asymmetric unit holds Pr at (0.000, 0.114, 0.000), Pr at (0.000, 0.125, 0.619), Al at (0.000, 0.413, 0.790), Te at (0.000, 0.040, 0.390), Te at (0.000, 0.307, 0.659), Te at (0.000, 0.317, 0.958), Te at (0.000, 0.370, 0.311), Te at (0.000, 0.494, 0.614) and Au at (0.000, 0.263, 0.442).

The calculation puts the density of states at the Fermi level at 0.05 states/eV/cell. Its total magnetization is 0.0 μB per formula unit. The formation energy from raw total energies comes out at -0.92 eV/atom. For the theoretical density, the calculation gives 6.83 g/cm3.

---

The following is a DFT calculation (PBE) of crystalline Te2RhI2 at its relaxed geometry.

It has space group C2/m (No. 12), with a = 8.494 Å, b = 11.390 Å, c = 8.182 Å, α = 90.00°, β = 106.20° and γ = 90.00°. The asymmetric unit holds Te at (0.110, 0.000, 0.303), Te at (0.219, 0.000, 0.694), Rh at (0.000, 0.152, 0.500) and I at (0.067, 0.311, 0.749).

The calculation puts the density of states at the Fermi level at 15.94 states/eV/cell. Its total magnetization is 0.0 μB per formula unit. The formation energy from raw total energies comes out at -0.10 eV/atom. For the theoretical density, the calculation gives 5.35 g/cm3.

---

The following is a DFT calculation (PBE) of crystalline Y2Ag2As at its relaxed geometry.

It has space group P4/mbm (No. 127), with a = 7.483 Å, b = 7.483 Å, c = 4.157 Å, α = 90.00°, β = 90.00° and γ = 90.00°. The asymmetric unit holds Y at (0.173, 0.327, 0.000), Ag at (0.129, 0.629, 0.500) and As at (0.000, 0.000, 0.500).

The calculation puts the density of states at the Fermi level at 5.12 states/eV/cell. Its total magnetization is 0.0 μB per formula unit. For the formation energy, the calculation gives -420 meV/atom. For the theoretical density, the calculation gives 6.68 g/cm3.

---

The following is a DFT calculation (PBE) of crystalline LaPbC at its relaxed geometry.

It has space group P1 (No. 1), with a = 3.838 Å, b = 5.856 Å, c = 7.057 Å, α = 97.40°, β = 90.21° and γ = 108.99°. The asymmetric unit holds La at (0.000, 0.000, 0.000), La at (0.492, 0.990, 0.512), Pb at (0.242, 0.489, 0.758), Pb at (0.731, 0.467, 0.253), C at (0.639, 0.279, 0.892) and C at (0.934, 0.877, 0.310).

The calculation puts the density of states at the Fermi level at 2.05 states/eV/cell. Its total magnetization is 0.0 μB per formula unit. For the formation energy, the calculation gives 254 meV/atom. For the theoretical density, the calculation gives 8.01 g/cm3.